1.
Computed, not measured: crystalline Li4NdSi2Au at its relaxed geometry at the PBE-GGA level of DFT.

Cell: 9.0954 9.0954 9.0954 Å, 28.29 28.29 28.29°
Fractional positions:
Li 0.0944 0.0944 0.0944
Li 0.3708 0.3708 0.3708
Li 0.6292 0.6292 0.6292
Li 0.9056 0.9056 0.9056
Nd 0.5000 0.5000 0.5000
Si 0.2315 0.2315 0.2315
Si 0.7685 0.7685 0.7685
Au 0.0000 0.0000 0.0000

Summary:
SG: No. 166
ΔE_f (raw), eV/atom: -0.298

=====

2.
Computed, not measured: crystalline LiNd2Si3Au4 at its relaxed geometry at the PBE-GGA level of DFT.

Cell: 4.3877 4.3877 10.0676 Å, 90.00 90.00 90.00°
Fractional positions:
Li 0.0000 0.0000 0.0000
Nd 0.0000 0.5000 0.7469
Nd 0.5000 0.0000 0.2531
Si 0.0000 0.5000 0.3621
Si 0.5000 0.0000 0.6379
Si 0.5000 0.5000 0.0000
Au 0.0000 0.0000 0.5000
Au 0.0000 0.5000 0.1204
Au 0.5000 0.0000 0.8796
Au 0.5000 0.5000 0.5000

Summary:
SG: No. 115
ΔE_f (raw), eV/atom: -0.648

=====

3.
Computed, not measured: crystalline LiNdSiAu at its relaxed geometry at the PBE-GGA level of DFT.

Cell: 6.9572 6.9572 6.9572 Å, 90.00 90.00 90.00°
Fractional positions:
Li 0.0000 0.0000 0.0000
Li 0.0000 0.5000 0.5000
Li 0.5000 0.0000 0.5000
Li 0.5000 0.5000 0.0000
Nd 0.0000 0.0000 0.5000
Nd 0.0000 0.5000 0.0000
Nd 0.5000 0.0000 0.0000
Nd 0.5000 0.5000 0.5000
Si 0.2500 0.2500 0.7500
Si 0.2500 0.7500 0.2500
Si 0.7500 0.2500 0.2500
Si 0.7500 0.7500 0.7500
Au 0.2500 0.2500 0.2500
Au 0.2500 0.7500 0.7500
Au 0.7500 0.2500 0.7500
Au 0.7500 0.7500 0.2500

Summary:
SG: No. 216
ΔE_f (raw), eV/atom: -0.481

=====

4.
Computed, not measured: crystalline LiNdSmAu at its relaxed geometry at the PBE-GGA level of DFT.

Cell: 3.7997 5.1591 5.1818 Å, 90.00 90.00 90.00°
Fractional positions:
Li 0.0000 0.0000 0.0000
Nd 0.5000 0.5000 0.0000
Sm 0.5000 0.0000 0.5000
Au 0.0000 0.5000 0.5000

Summary:
SG: No. 47
Calculated formation energy, eV per atom: -0.36
E above lowest polymorph, eV per atom: 0.000

=====

5.
Computed, not measured: crystalline Li2NdSmAu2 at its relaxed geometry at the PBE-GGA level of DFT.

Cell: 4.6595 4.6595 7.0520 Å, 90.00 90.00 120.00°
Fractional positions:
Li 0.3333 0.6667 0.2419
Li 0.6667 0.3333 0.7581
Nd 0.0000 0.0000 0.5000
Sm 0.0000 0.0000 0.0000
Au 0.3333 0.6667 0.7568
Au 0.6667 0.3333 0.2432

Summary:
SG: No. 164
Calculated formation energy, eV per atom: -0.53

=====

6.
Computed, not measured: crystalline LiNdSmAu at its relaxed geometry at the PBE-GGA level of DFT.

Cell: 7.4218 7.4218 7.4218 Å, 90.00 90.00 90.00°
Fractional positions:
Li 0.0000 0.0000 0.0000
Li 0.0000 0.5000 0.5000
Li 0.5000 0.0000 0.5000
Li 0.5000 0.5000 0.0000
Nd 0.2500 0.2500 0.7500
Nd 0.2500 0.7500 0.2500
Nd 0.7500 0.2500 0.2500
Nd 0.7500 0.7500 0.7500
Sm 0.2500 0.2500 0.2500
Sm 0.2500 0.7500 0.7500
Sm 0.7500 0.2500 0.7500
Sm 0.7500 0.7500 0.2500
Au 0.0000 0.0000 0.5000
Au 0.0000 0.5000 0.0000
Au 0.5000 0.0000 0.0000
Au 0.5000 0.5000 0.5000

Summary:
SG: No. 216
Calculated formation energy, eV per atom: -0.34
E above lowest polymorph, eV per atom: 0.026

=====

7.
Computed, not measured: crystalline Li2NdSnAu4 at its relaxed geometry at the PBE-GGA level of DFT.

Cell: 9.3882 9.3882 9.3882 Å, 28.29 28.29 28.29°
Fractional positions:
Li 0.2380 0.2380 0.2380
Li 0.7620 0.7620 0.7620
Nd 0.0000 0.0000 0.0000
Sn 0.5000 0.5000 0.5000
Au 0.1196 0.1196 0.1196
Au 0.3932 0.3932 0.3932
Au 0.6068 0.6068 0.6068
Au 0.8804 0.8804 0.8804

Summary:
SG: No. 166
Calculated formation energy, eV per atom: -0.55

=====

8.
Computed, not measured: crystalline Li2NdSnAu2 at its relaxed geometry at the PBE-GGA level of DFT.

Cell: 4.6187 4.6187 6.6493 Å, 90.00 90.00 120.00°
Fractional positions:
Li 0.3333 0.6667 0.1747
Li 0.6667 0.3333 0.8253
Nd 0.0000 0.0000 0.5000
Sn 0.0000 0.0000 0.0000
Au 0.3333 0.6667 0.7588
Au 0.6667 0.3333 0.2412

Summary:
SG: No. 164
Calculated formation energy, eV per atom: -0.63

=====

Volume (computed, A^3/atom): 18.672; 19.382; 21.046; 25.395; 22.099; 25.551; 20.524; 20.473
M_tot (computed, μB/atom): 0.0000; 0.0000; 0.0000; 0.0003; 0.0000; 0.0004; 0.0000; 0.0000